<one>
The following is a PBE-GGA calculation of crystalline CaOsAu at its relaxed geometry, from Alexandria via LeMat-Bulk.

The calculation puts the density of states at the Fermi level at 7.103 states/eV/cell. The total magnetization is 0.00 μB per formula unit.

Cell and atoms, written as CIF:
```
data_CaOsAu
_chemical_formula_sum 'Ca2 Os2 Au2'
_cell_length_a 2.863
_cell_length_b 2.863
_cell_length_c 13.603
_cell_angle_alpha 90.00
_cell_angle_beta 90.00
_cell_angle_gamma 90.00
_symmetry_space_group_name_H-M 'I 4 m m'
_symmetry_Int_Tables_number 107
_symmetry_space_group_name_Hall 'I 4 -2'
loop_
_atom_site_label
_atom_site_type_symbol
_atom_site_fract_x
_atom_site_fract_y
_atom_site_fract_z
Ca1 Ca 0.000 0.000 0.000
Os1 Os 0.000 0.000 0.667
Au1 Au 0.000 0.000 0.320
```

***

<two>
The following is a PBE-GGA calculation of crystalline CaOsAu at its relaxed geometry, from Alexandria via LeMat-Bulk.

The calculation puts the density of states at the Fermi level at 12.008 states/eV/cell. The total magnetization is 2.17 μB per formula unit.

Cell and atoms, written as CIF:
```
data_CaOsAu
_chemical_formula_sum 'Ca4 Os4 Au4'
_cell_length_a 6.553
_cell_length_b 6.553
_cell_length_c 6.553
_cell_angle_alpha 90.00
_cell_angle_beta 90.00
_cell_angle_gamma 90.00
_symmetry_space_group_name_H-M 'F -4 3 m'
_symmetry_Int_Tables_number 216
_symmetry_space_group_name_Hall 'F -4 2 3'
loop_
_atom_site_label
_atom_site_type_symbol
_atom_site_fract_x
_atom_site_fract_y
_atom_site_fract_z
Ca1 Ca 0.000 0.000 0.000
Os1 Os 0.000 0.000 0.500
Au1 Au 0.250 0.250 0.750
```

***

Name the least stable of them. <two>.

***

<one>
The following is a PBE-GGA calculation of crystalline CaOsAu at its relaxed geometry, from Alexandria via LeMat-Bulk.

The calculation puts the density of states at the Fermi level at 33.335 states/eV/cell. The total magnetization is 1.93 μB per formula unit.

Cell and atoms, written as CIF:
```
data_CaOsAu
_chemical_formula_sum 'Ca4 Os4 Au4'
_cell_length_a 6.580
_cell_length_b 6.580
_cell_length_c 6.580
_cell_angle_alpha 90.00
_cell_angle_beta 90.00
_cell_angle_gamma 90.00
_symmetry_space_group_name_H-M 'F -4 3 m'
_symmetry_Int_Tables_number 216
_symmetry_space_group_name_Hall 'F -4 2 3'
loop_
_atom_site_label
_atom_site_type_symbol
_atom_site_fract_x
_atom_site_fract_y
_atom_site_fract_z
Ca1 Ca 0.000 0.000 0.000
Os1 Os 0.250 0.250 0.250
Au1 Au 0.250 0.250 0.750
```

***

<two>
The following is a PBE-GGA calculation of crystalline CaOsAu at its relaxed geometry, from Alexandria via LeMat-Bulk.

The calculation puts the density of states at the Fermi level at 3.628 states/eV/cell. The total magnetization is 0.44 μB per formula unit.

Cell and atoms, written as CIF:
```
data_CaOsAu
_chemical_formula_sum 'Ca1 Os1 Au1'
_cell_length_a 4.5441
_cell_length_b 4.5441
_cell_length_c 3.4564
_cell_angle_alpha 90.00
_cell_angle_beta 90.00
_cell_angle_gamma 120.00
_symmetry_space_group_name_H-M 'P -6 m 2'
_symmetry_Int_Tables_number 187
_symmetry_space_group_name_Hall 'P -6 2'
loop_
_atom_site_label
_atom_site_type_symbol
_atom_site_fract_x
_atom_site_fract_y
_atom_site_fract_z
Ca1 Ca 0.0000 0.0000 0.0000
Os1 Os 0.3333 0.6667 0.5000
Au1 Au 0.6667 0.3333 0.5000
```

***

<three>
The following is a PBE-GGA calculation of crystalline CaOsAu at its relaxed geometry, from Alexandria via LeMat-Bulk.

The calculation puts the density of states at the Fermi level at 5.488 states/eV/cell. The total magnetization is 0.00 μB per formula unit.

Cell and atoms, written as CIF:
```
data_CaOsAu
_chemical_formula_sum 'Ca2 Os2 Au2'
_cell_length_a 2.753
_cell_length_b 4.415
_cell_length_c 9.722
_cell_angle_alpha 90.00
_cell_angle_beta 90.00
_cell_angle_gamma 90.00
_symmetry_space_group_name_H-M 'I m m 2'
_symmetry_Int_Tables_number 44
loop_
_symmetry_equiv_pos_as_xyz
'x,y,z'
'-x,-y,z'
'-x,y,z'
'x,-y,z'
'x+1/2,y+1/2,z+1/2'
'-x+1/2,-y+1/2,z+1/2'
'-x+1/2,y+1/2,z+1/2'
'x+1/2,-y+1/2,z+1/2'
loop_
_atom_site_label
_atom_site_type_symbol
_atom_site_fract_x
_atom_site_fract_y
_atom_site_fract_z
Ca1 Ca 0.000 0.000 0.000
Os1 Os 0.000 0.000 0.696
Au1 Au 0.000 0.000 0.302
```

***

<four>
The following is a PBE-GGA calculation of crystalline CaOsAu at its relaxed geometry, from Alexandria via LeMat-Bulk.

The calculation puts the density of states at the Fermi level at 2.699 states/eV/cell. The total magnetization is 0.25 μB per formula unit.

Cell and atoms, written as CIF:
```
data_CaOsAu
_chemical_formula_sum 'Ca1 Os1 Au1'
_cell_length_a 2.9530
_cell_length_b 2.9530
_cell_length_c 7.3403
_cell_angle_alpha 90.00
_cell_angle_beta 90.00
_cell_angle_gamma 120.00
_symmetry_space_group_name_H-M 'P 3 m 1'
_symmetry_Int_Tables_number 156
loop_
_symmetry_equiv_pos_as_xyz
'x,y,z'
'-y,x-y,z'
'-x+y,-x,z'
'-y,-x,z'
'-x+y,y,z'
'x,x-y,z'
loop_
_atom_site_label
_atom_site_type_symbol
_atom_site_fract_x
_atom_site_fract_y
_atom_site_fract_z
Ca1 Ca 0.0000 0.0000 0.0000
Os1 Os 0.6667 0.3333 0.3251
Au1 Au 0.3333 0.6667 0.6510
```

***

Name the least stable of them. <one>.